Compound: InCuW2Cl
Source: Alexandria via LeMat-Bulk
Functional: PBE
Structure: optimized geometry

Output
* density of states at the Fermi level: 1.139 states/eV per atom
* E: -5.05 eV/atom
* volume: 21.70 Å³/atom
* space-group type: P4/mmm, No. 123

a b c (Å): 4.7238 4.7238 4.8619
angles (deg): 90.00 90.00 90.00
Positions (direct):
In (0.0000, 0.0000, 0.0000)
Cu (0.0000, 0.0000, 0.5000)
W (0.0000, 0.5000, 0.5000)
W (0.5000, 0.0000, 0.5000)
Cl (0.5000, 0.5000, 0.0000)

---

Compound: YIn2CuCl
Source: Alexandria via LeMat-Bulk
Functional: PBE
Structure: optimized geometry

Output
* density of states at the Fermi level: 1.065 states/eV per atom
* E: -3.31 eV/atom
* volume: 38.96 Å³/atom
* space-group type: P4/mmm, No. 123

a b c (Å): 6.1670 6.1670 5.1218
angles (deg): 90.00 90.00 90.00
Positions (direct):
Y (0.0000, 0.0000, 0.0000)
In (0.0000, 0.5000, 0.0000)
In (0.5000, 0.0000, 0.0000)
Cu (0.5000, 0.5000, 0.5000)
Cl (0.0000, 0.0000, 0.5000)